No. 1
VASP calculation (GGA-PBE) on ZrMnBr after structural relaxation.

Structure (POSCAR):
```
ZrMnBr
1.0
4.209 0.000 0.000
-2.105 3.645 0.000
0.000 0.000 3.260
Zr Mn Br
1 1 1
direct
0.000 0.000 0.000
0.333 0.667 0.429
0.667 0.333 0.485
```

E_tot = -6.219 eV/atom
N(E_F) = 2.972 states/eV/f.u.
Formation energy (no corrections) = 0.24 eV per atom

***

No. 2
VASP calculation (GGA-PBE) on Nd2Sb4IrPt3 after structural relaxation.

Structure (POSCAR):
```
Nd2Sb4IrPt3
1.0
4.607 0.000 0.000
0.000 4.607 0.000
0.000 0.000 10.764
Nd Sb Ir Pt
2 4 1 3
direct
0.000 0.500 0.230
0.500 0.000 0.770
0.000 0.000 0.500
0.000 0.500 0.872
0.500 0.000 0.128
0.500 0.500 0.500
0.500 0.500 0.000
0.000 0.000 0.000
0.000 0.500 0.631
0.500 0.000 0.369
```

E_tot = -6.034 eV/atom
N(E_F) = 4.045 states/eV/f.u.
Formation energy (no corrections) = -0.73 eV per atom